# Y2CrGeC | the Alexandria database | GGA-PBE | relaxed
# * raw total energy: -7.66 eV per atom
# * E_form: -0.377 eV/atom
# * space-group type: P4/mmm, No. 123
# * N(E_F): 0.636 states/eV/atom
# * total magnetic moment: 2.119 μB per cell
data_Y2CrGeC
_chemical_formula_sum 'Y2 Cr1 Ge1 C1'
_cell_length_a 4.9110
_cell_length_b 4.9110
_cell_length_c 3.9235
_cell_angle_alpha 90.00
_cell_angle_beta 90.00
_cell_angle_gamma 90.00
_symmetry_space_group_name_H-M 'P 1'
_symmetry_Int_Tables_number 1
_symmetry_space_group_name_Hall 'P 1'
loop_
_atom_site_label
_atom_site_type_symbol
_atom_site_fract_x
_atom_site_fract_y
_atom_site_fract_z
Cr1 Cr 0.0000 0.0000 0.5000
Ge1 Ge 0.5000 0.5000 0.5000
Y1 Y 0.0000 0.5000 0.0000
Y2 Y 0.5000 0.0000 0.0000
C1 C 0.0000 0.0000 0.0000